Entry from Alexandria via LeMat-Bulk: a relaxed TiSi2 crystal (PBEsol).

Unit cell a=6.892 b=6.892 c=3.559 alpha=90.00 beta=90.00 gamma=150.47
Atoms (fractional coordinates):
1 Ti 0.102 0.898 0.750
2 Ti 0.898 0.102 0.250
3 Si 0.249 0.751 0.250
4 Si 0.440 0.560 0.750
5 Si 0.560 0.440 0.250
6 Si 0.751 0.249 0.750

Raw total energy: -7.270 eV/atom
Space group: No. 63
ΔE_f (raw): -665 meV per atom
D(E_F): 0.2746 states/eV/atom

Entry from Alexandria via LeMat-Bulk: a relaxed TiSi crystal (PBEsol).

Unit cell a=6.449 b=3.619 c=4.960 alpha=90.00 beta=90.00 gamma=90.00
Atoms (fractional coordinates):
1 Ti 0.176 0.250 0.129
2 Ti 0.324 0.750 0.629
3 Ti 0.676 0.250 0.371
4 Ti 0.824 0.750 0.871
5 Si 0.044 0.250 0.647
6 Si 0.456 0.750 0.147
7 Si 0.544 0.250 0.853
8 Si 0.956 0.750 0.353

Raw total energy: -7.877 eV/atom
Space group: No. 62
ΔE_f (raw): -843 meV per atom
D(E_F): 0.2554 states/eV/atom

Entry from Alexandria via LeMat-Bulk: a relaxed TiSi2 crystal (PBEsol).

Unit cell a=5.893 b=4.870 c=4.728 alpha=75.74 beta=53.22 gamma=51.04
Atoms (fractional coordinates):
1 Ti 0.125 0.125 0.125
2 Ti 0.875 0.875 0.875
3 Si 0.211 0.539 0.211
4 Si 0.461 0.789 0.461
5 Si 0.539 0.211 0.539
6 Si 0.789 0.461 0.789

Raw total energy: -7.269 eV/atom
Space group: No. 70
ΔE_f (raw): -663 meV per atom
D(E_F): 0.3949 states/eV/atom

Entry from Alexandria via LeMat-Bulk: a relaxed Ti2Si2W crystal (PBEsol).

Unit cell a=6.496 b=6.496 c=3.412 alpha=90.00 beta=90.00 gamma=90.00
Atoms (fractional coordinates):
1 Ti 0.172 0.328 0.000
2 Ti 0.328 0.828 0.000
3 Ti 0.672 0.172 0.000
4 Ti 0.828 0.672 0.000
5 Si 0.129 0.629 0.500
6 Si 0.371 0.129 0.500
7 Si 0.629 0.871 0.500
8 Si 0.871 0.371 0.500
9 W 0.000 0.000 0.500
10 W 0.500 0.500 0.500

Raw total energy: -9.120 eV/atom
Space group: No. 127
ΔE_f (raw): -731 meV per atom
D(E_F): 0.3424 states/eV/atom

Entry from Alexandria via LeMat-Bulk: a relaxed Y3TiSi crystal (PBEsol).

Unit cell a=5.334 b=5.334 c=5.334 alpha=90.00 beta=90.00 gamma=90.00
Atoms (fractional coordinates):
1 Y 0.000 0.000 0.500
2 Y 0.000 0.500 0.000
3 Y 0.500 0.000 0.000
4 Ti 0.500 0.500 0.500
5 Si 0.000 0.000 0.000

Excess energy over the best structure of this formula in the dataset: 0.0 kJ/mol of atoms
Raw total energy: -6.606 eV/atom
Space group: No. 221
ΔE_f (raw): 301 meV per atom
D(E_F): 1.3684 states/eV/atom

Entry from Alexandria via LeMat-Bulk: a relaxed YTiSi crystal (PBEsol).

Unit cell a=3.990 b=3.990 c=7.498 alpha=90.00 beta=90.00 gamma=90.00
Atoms (fractional coordinates):
1 Y 0.250 0.250 0.156
2 Y 0.750 0.750 0.844
3 Ti 0.250 0.750 0.500
4 Ti 0.750 0.250 0.500
5 Si 0.250 0.250 0.737
6 Si 0.750 0.750 0.263

Raw total energy: -7.673 eV/atom
Space group: No. 129
ΔE_f (raw): -709 meV per atom
D(E_F): 1.1170 states/eV/atom

Entry from Alexandria via LeMat-Bulk: a relaxed Y3TiSi crystal (PBEsol).

Unit cell a=5.099 b=5.099 c=5.099 alpha=90.00 beta=90.00 gamma=90.00
Atoms (fractional coordinates):
1 Y 0.000 0.000 0.500
2 Y 0.000 0.500 0.000
3 Y 0.500 0.000 0.000
4 Ti 0.000 0.000 0.000
5 Si 0.500 0.500 0.500

Excess energy over the best structure of this formula in the dataset: 33.2 kJ/mol of atoms
Raw total energy: -6.263 eV/atom
Space group: No. 221
ΔE_f (raw): 644 meV per atom
D(E_F): 0.8164 states/eV/atom

Entry from Alexandria via LeMat-Bulk: a relaxed Y2TiSi crystal (PBEsol).

Unit cell a=6.340 b=6.340 c=6.340 alpha=101.39 beta=101.39 gamma=127.24
Atoms (fractional coordinates):
1 Y 0.093 0.625 0.968
2 Y 0.375 0.343 0.468
3 Y 0.657 0.125 0.032
4 Y 0.875 0.907 0.532
5 Ti 0.250 0.750 0.500
6 Ti 0.500 0.500 0.000
7 Si 0.000 0.000 0.000
8 Si 0.750 0.250 0.500

Raw total energy: -6.736 eV/atom
Space group: No. 122
ΔE_f (raw): 192 meV per atom
D(E_F): 1.2101 states/eV/atom

Entry from Alexandria via LeMat-Bulk: a relaxed Y2TiSi2 crystal (PBEsol).

Unit cell a=6.985 b=6.985 c=4.173 alpha=90.00 beta=90.00 gamma=90.00
Atoms (fractional coordinates):
1 Y 0.178 0.322 0.000
2 Y 0.322 0.822 0.000
3 Y 0.678 0.178 0.000
4 Y 0.822 0.678 0.000
5 Ti 0.000 0.000 0.500
6 Ti 0.500 0.500 0.500
7 Si 0.124 0.624 0.500
8 Si 0.376 0.124 0.500
9 Si 0.624 0.876 0.500
10 Si 0.876 0.376 0.500

Raw total energy: -7.415 eV/atom
Space group: No. 127
ΔE_f (raw): -723 meV per atom
D(E_F): 1.0265 states/eV/atom

Entry from Alexandria via LeMat-Bulk: a relaxed Zr2TiSi2 crystal (PBEsol).

Unit cell a=6.811 b=6.811 c=3.708 alpha=90.00 beta=90.00 gamma=90.00
Atoms (fractional coordinates):
1 Zr 0.174 0.326 0.000
2 Zr 0.326 0.826 0.000
3 Zr 0.674 0.174 0.000
4 Zr 0.826 0.674 0.000
5 Ti 0.000 0.000 0.500
6 Ti 0.500 0.500 0.500
7 Si 0.126 0.626 0.500
8 Si 0.374 0.126 0.500
9 Si 0.626 0.874 0.500
10 Si 0.874 0.374 0.500

Raw total energy: -8.509 eV/atom
Space group: No. 127
ΔE_f (raw): -910 meV per atom
D(E_F): 1.1732 states/eV/atom

Entry from Alexandria via LeMat-Bulk: a relaxed ZrTiSi2 crystal (PBEsol).

Unit cell a=5.669 b=5.669 c=5.669 alpha=104.08 beta=104.08 gamma=120.90
Atoms (fractional coordinates):
1 Zr 0.000 0.000 0.000
2 Zr 0.750 0.250 0.500
3 Ti 0.250 0.750 0.500
4 Ti 0.500 0.500 0.000
5 Si 0.140 0.625 0.015
6 Si 0.375 0.390 0.515
7 Si 0.610 0.125 0.985
8 Si 0.875 0.860 0.485

Raw total energy: -7.633 eV/atom
Space group: No. 122
ΔE_f (raw): -407 meV per atom
D(E_F): 0.3507 states/eV/atom

Entry from Alexandria via LeMat-Bulk: a relaxed Zr3Ti2Si3 crystal (PBEsol).

Unit cell a=7.731 b=7.731 c=5.263 alpha=90.00 beta=90.00 gamma=120.00
Atoms (fractional coordinates):
1 Zr 0.000 0.250 0.250
2 Zr 0.000 0.750 0.750
3 Zr 0.250 0.000 0.250
4 Zr 0.250 0.250 0.750
5 Zr 0.750 0.000 0.750
6 Zr 0.750 0.750 0.250
7 Ti 0.333 0.667 0.000
8 Ti 0.333 0.667 0.500
9 Ti 0.667 0.333 0.000
10 Ti 0.667 0.333 0.500
11 Si 0.000 0.399 0.750
12 Si 0.000 0.601 0.250
13 Si 0.399 0.000 0.750
14 Si 0.399 0.399 0.250
15 Si 0.601 0.000 0.250
16 Si 0.601 0.601 0.750

Raw total energy: -8.556 eV/atom
Space group: No. 193
ΔE_f (raw): -912 meV per atom
D(E_F): 0.4642 states/eV/atom

Entry from Alexandria via LeMat-Bulk: a relaxed TlSi crystal (PBEsol).

Unit cell a=3.066 b=3.066 c=5.417 alpha=90.00 beta=90.00 gamma=120.00
Atoms (fractional coordinates):
1 Tl 0.000 0.000 0.000
2 Si 0.667 0.333 0.500

Raw total energy: -3.578 eV/atom
Space group: No. 187
ΔE_f (raw): 610 meV per atom
D(E_F): 0.5177 states/eV/atom

Entry from Alexandria via LeMat-Bulk: a relaxed TlSi2 crystal (PBEsol).

Unit cell a=3.948 b=3.948 c=5.134 alpha=90.00 beta=90.00 gamma=120.00
Atoms (fractional coordinates):
1 Tl 0.000 0.000 0.000
2 Si 0.333 0.667 0.500
3 Si 0.667 0.333 0.500

Excess energy over the best structure of this formula in the dataset: 0.0 kJ/mol of atoms
Raw total energy: -4.364 eV/atom
Space group: No. 191
ΔE_f (raw): 344 meV per atom
D(E_F): 0.4320 states/eV/atom

Entry from Alexandria via LeMat-Bulk: a relaxed TlSi crystal (PBEsol).

Unit cell a=3.716 b=3.716 c=8.228 alpha=90.00 beta=90.00 gamma=120.00
Atoms (fractional coordinates):
1 Tl 0.333 0.667 0.169
2 Tl 0.667 0.333 0.831
3 Si 0.333 0.667 0.557
4 Si 0.667 0.333 0.443

Raw total energy: -4.027 eV/atom
Space group: No. 164
ΔE_f (raw): 161 meV per atom
D(E_F): 0.2704 states/eV/atom

Entry from Alexandria via LeMat-Bulk: a relaxed Tl2Si crystal (PBEsol).

Unit cell a=5.207 b=5.207 c=6.138 alpha=90.00 beta=90.00 gamma=120.00
Atoms (fractional coordinates):
1 Tl 0.000 0.000 0.000
2 Tl 0.000 0.000 0.500
3 Tl 0.333 0.667 0.250
4 Tl 0.667 0.333 0.750
5 Si 0.333 0.667 0.750
6 Si 0.667 0.333 0.250

Excess energy over the best structure of this formula in the dataset: 2.9 kJ/mol of atoms
Raw total energy: -3.270 eV/atom
Space group: No. 194
ΔE_f (raw): 399 meV per atom
D(E_F): 0.3821 states/eV/atom

Entry from Alexandria via LeMat-Bulk: a relaxed Tl2Si crystal (PBEsol).

Unit cell a=13.728 b=13.728 c=13.728 alpha=166.05 beta=166.05 gamma=19.78
Atoms (fractional coordinates):
1 Tl 0.303 0.553 0.750
2 Tl 0.447 0.697 0.750
3 Tl 0.553 0.303 0.250
4 Tl 0.697 0.447 0.250
5 Si 0.125 0.875 0.250
6 Si 0.875 0.125 0.750

Excess energy over the best structure of this formula in the dataset: 0.0 kJ/mol of atoms
Raw total energy: -3.301 eV/atom
Space group: No. 141
ΔE_f (raw): 368 meV per atom
D(E_F): 0.4360 states/eV/atom

Entry from Alexandria via LeMat-Bulk: a relaxed TlSi2 crystal (PBEsol).

Unit cell a=3.475 b=3.475 c=5.195 alpha=90.00 beta=90.00 gamma=90.00
Atoms (fractional coordinates):
1 Tl 0.000 0.000 0.000
2 Si 0.000 0.500 0.500
3 Si 0.500 0.000 0.500

Excess energy over the best structure of this formula in the dataset: 1.2 kJ/mol of atoms
Raw total energy: -4.351 eV/atom
Space group: No. 123
ΔE_f (raw): 357 meV per atom
D(E_F): 0.4545 states/eV/atom

Entry from Alexandria via LeMat-Bulk: a relaxed TlSi2 crystal (PBEsol).

Unit cell a=4.631 b=4.631 c=6.444 alpha=90.00 beta=90.00 gamma=120.00
Atoms (fractional coordinates):
1 Tl 0.000 0.000 0.250
2 Tl 0.000 0.000 0.750
3 Si 0.333 0.667 0.052
4 Si 0.333 0.667 0.448
5 Si 0.667 0.333 0.552
6 Si 0.667 0.333 0.948

Excess energy over the best structure of this formula in the dataset: 9.7 kJ/mol of atoms
Raw total energy: -4.263 eV/atom
Space group: No. 194
ΔE_f (raw): 444 meV per atom
D(E_F): 0.3534 states/eV/atom

Entry from Alexandria via LeMat-Bulk: a relaxed Tl2Si crystal (PBEsol).

Unit cell a=4.721 b=4.721 c=3.582 alpha=90.00 beta=90.00 gamma=90.00
Atoms (fractional coordinates):
1 Tl 0.000 0.500 0.000
2 Tl 0.500 0.000 0.000
3 Si 0.000 0.000 0.500

Excess energy over the best structure of this formula in the dataset: 6.3 kJ/mol of atoms
Raw total energy: -3.235 eV/atom
Space group: No. 123
ΔE_f (raw): 434 meV per atom
D(E_F): 0.4379 states/eV/atom